Density functional theory data (PBE with a Hubbard U) for a relaxed Rb4PaNi3O8 crystal.

Output
Uncorrected energy   -85.71 eV for the cell shown
SG   C2/m (12)
Crystal system   monoclinic

Unit cell a=6.512 b=7.459 c=6.573 alpha=116.00 beta=119.69 gamma=90.00
Site moments in Bohr magnetons follow the coordinates.
Fractional positions:
Rb1 0.000 0.000 0.000  0.00
Rb2 0.500 0.000 0.000  0.00
Rb3 0.000 0.000 0.500  0.00
Rb4 0.500 0.000 0.500  0.00
Ni1 0.000 0.500 0.500  1.69
Ni2 0.500 0.500 0.000  1.71
Ni3 0.500 0.500 0.500  1.69
O1 0.226 0.675 0.452  0.00
O2 0.717 0.650 0.435  -0.14
O3 0.773 0.320 0.042  0.04
O4 0.227 0.680 0.958  0.04
O5 0.269 0.320 0.042  0.04
O6 0.774 0.325 0.548  0.00
O7 0.283 0.350 0.565  -0.14
O8 0.731 0.680 0.958  0.04
Pa1 0.000 0.500 0.000  0.01